# NdMg7Ag5 | Alexandria via LeMat-Bulk | PBE | relaxed
data_NdMg7Ag5
_space_group_name_H-M_alt 'I m m 2'
_space_group_IT_number 44
_space_group_name_Hall 'I 2 -2'
_cell_length_a 5.657
_cell_length_b 9.904
_cell_length_c 9.723
_cell_angle_alpha 90.00
_cell_angle_beta 90.00
_cell_angle_gamma 90.00
loop_
_atom_site_label
_atom_site_fract_x
_atom_site_fract_y
_atom_site_fract_z
Nd1 0.000 0.000 0.000
Mg1 0.000 0.000 0.349
Mg2 0.000 0.000 0.662
Mg3 0.000 0.295 0.499
Mg4 0.000 0.346 0.014
Mg5 0.000 0.500 0.725
Ag1 0.000 0.500 0.288
Ag2 0.248 0.255 0.754
# calculated formation energy	-0.198	eV/atom
# magnetization	0.00	μB per atom

# NdMgAg | Alexandria via LeMat-Bulk | PBE | relaxed
data_NdMgAg
_space_group_name_H-M_alt 'I 4 m m'
_space_group_IT_number 107
_space_group_name_Hall 'I 4 -2'
_cell_length_a 3.532
_cell_length_b 3.532
_cell_length_c 11.946
_cell_angle_alpha 90.00
_cell_angle_beta 90.00
_cell_angle_gamma 90.00
loop_
_atom_site_label
_atom_site_fract_x
_atom_site_fract_y
_atom_site_fract_z
Nd1 0.000 0.000 0.000
Mg1 0.000 0.000 0.703
Ag1 0.000 0.000 0.323
# calculated formation energy	-0.164	eV/atom
# magnetization	0.07	μB per atom

# NdMg3Ag3 | Alexandria via LeMat-Bulk | PBE | relaxed
data_NdMg3Ag3
_space_group_name_H-M_alt 'P m -3 n'
_space_group_IT_number 223
_space_group_name_Hall '-P 4n 2 3'
_cell_length_a 7.240
_cell_length_b 7.240
_cell_length_c 7.240
_cell_angle_alpha 90.00
_cell_angle_beta 90.00
_cell_angle_gamma 90.00
loop_
_atom_site_label
_atom_site_fract_x
_atom_site_fract_y
_atom_site_fract_z
Nd1 0.000 0.000 0.000
Mg1 0.000 0.250 0.500
Ag1 0.000 0.500 0.250
# relative energy among the computed polymorphs	450	meV/atom
# calculated formation energy	0.258	eV/atom
# magnetization	0.00	μB per atom

# NdMgAg4 | Alexandria via LeMat-Bulk | PBE | relaxed
data_NdMgAg4
_space_group_name_H-M_alt 'P 6/m m m'
_space_group_IT_number 191
_space_group_name_Hall '-P 6 2'
_cell_length_a 4.7451
_cell_length_b 4.7451
_cell_length_c 6.7285
_cell_angle_alpha 90.00
_cell_angle_beta 90.00
_cell_angle_gamma 120.00
loop_
_atom_site_label
_atom_site_fract_x
_atom_site_fract_y
_atom_site_fract_z
Nd1 0.0000 0.0000 0.0000
Mg1 0.0000 0.0000 0.5000
Ag1 0.3333 0.6667 0.2809
# relative energy among the computed polymorphs	23	meV/atom
# calculated formation energy	-0.179	eV/atom
# magnetization	0.00	μB per atom

# NdMg2Ag6 | Alexandria via LeMat-Bulk | PBE | relaxed
data_NdMg2Ag6
_space_group_name_H-M_alt 'I m m m'
_space_group_IT_number 71
_space_group_name_Hall '-I 2 2'
_cell_length_a 3.169
_cell_length_b 8.215
_cell_length_c 14.254
_cell_angle_alpha 90.00
_cell_angle_beta 90.00
_cell_angle_gamma 90.00
loop_
_atom_site_label
_atom_site_fract_x
_atom_site_fract_y
_atom_site_fract_z
Nd1 0.000 0.000 0.000
Mg1 0.000 0.500 0.148
Ag1 0.000 0.166 0.500
Ag2 0.000 0.322 0.323
# calculated formation energy	-0.110	eV/atom
# magnetization	0.00	μB per atom

# NdMgAg4 | Alexandria via LeMat-Bulk | PBE | relaxed
data_NdMgAg4
_space_group_name_H-M_alt 'F -4 3 m'
_space_group_IT_number 216
_space_group_name_Hall 'F -4 2 3'
_cell_length_a 7.995
_cell_length_b 7.995
_cell_length_c 7.995
_cell_angle_alpha 90.00
_cell_angle_beta 90.00
_cell_angle_gamma 90.00
loop_
_atom_site_label
_atom_site_fract_x
_atom_site_fract_y
_atom_site_fract_z
Nd1 0.000 0.000 0.000
Mg1 0.250 0.250 0.750
Ag1 0.124 0.124 0.376
# relative energy among the computed polymorphs	0	meV/atom
# calculated formation energy	-0.201	eV/atom
# magnetization	0.00	μB per atom

# NdMg3Ag | Alexandria via LeMat-Bulk | PBE | relaxed
data_NdMg3Ag
_space_group_name_H-M_alt 'P 1 m 1'
_space_group_IT_number 6
_space_group_name_Hall 'P -2y'
_cell_length_a 7.332
_cell_length_b 4.424
_cell_length_c 7.951
_cell_angle_alpha 90.00
_cell_angle_beta 105.71
_cell_angle_gamma 90.00
loop_
_atom_site_label
_atom_site_fract_x
_atom_site_fract_y
_atom_site_fract_z
Nd1 0.000 0.000 0.000
Nd2 0.367 0.500 0.320
Mg1 0.100 0.000 0.508
Mg2 0.266 0.500 0.810
Mg3 0.513 0.000 0.057
Mg4 0.529 0.000 0.680
Mg5 0.837 0.500 0.642
Mg6 0.854 0.500 0.263
Ag1 0.663 0.500 0.909
Ag2 0.703 0.000 0.412
# relative energy among the computed polymorphs	0	meV/atom
# calculated formation energy	-0.145	eV/atom
# magnetization	0.00	μB per atom

# Nd2MgAg6 | Alexandria via LeMat-Bulk | PBE | relaxed
data_Nd2MgAg6
_space_group_name_H-M_alt 'P 6/m m m'
_space_group_IT_number 191
_space_group_name_Hall '-P 6 2'
_cell_length_a 8.4012
_cell_length_b 8.4012
_cell_length_c 3.2746
_cell_angle_alpha 90.00
_cell_angle_beta 90.00
_cell_angle_gamma 120.00
loop_
_atom_site_label
_atom_site_fract_x
_atom_site_fract_y
_atom_site_fract_z
Nd1 0.3333 0.6667 0.0000
Mg1 0.0000 0.0000 0.0000
Ag1 0.0000 0.3276 0.5000
# relative energy among the computed polymorphs	44	meV/atom
# calculated formation energy	-0.146	eV/atom
# magnetization	0.00	μB per atom

# Nd2Mg6Ag3 | Alexandria via LeMat-Bulk | PBE | relaxed
data_Nd2Mg6Ag3
_space_group_name_H-M_alt 'P -6 2 m'
_space_group_IT_number 189
_space_group_name_Hall 'P -6 -2'
_cell_length_a 8.8411
_cell_length_b 8.8411
_cell_length_c 3.9774
_cell_angle_alpha 90.00
_cell_angle_beta 90.00
_cell_angle_gamma 120.00
loop_
_atom_site_label
_atom_site_fract_x
_atom_site_fract_y
_atom_site_fract_z
Nd1 0.3333 0.6667 0.0000
Mg1 0.0000 0.3016 0.5000
Mg2 0.0000 0.8051 0.0000
Ag1 0.0000 0.6046 0.5000
# calculated formation energy	-0.114	eV/atom
# magnetization	0.00	μB per atom

# Nd3Mg2Ag4 | Alexandria via LeMat-Bulk | PBE | relaxed
data_Nd3Mg2Ag4
_space_group_name_H-M_alt 'C 1 2/m 1'
_space_group_IT_number 12
_space_group_name_Hall '-C 2y'
_cell_length_a 10.034
_cell_length_b 4.807
_cell_length_c 9.318
_cell_angle_alpha 90.00
_cell_angle_beta 94.32
_cell_angle_gamma 90.00
loop_
_atom_site_label
_atom_site_fract_x
_atom_site_fract_y
_atom_site_fract_z
Nd1 0.000 0.000 0.000
Nd2 0.138 0.500 0.397
Mg1 0.176 0.500 0.779
Ag1 0.062 0.000 0.649
Ag2 0.206 0.500 0.083
# relative energy among the computed polymorphs	11	meV/atom
# calculated formation energy	-0.228	eV/atom
# magnetization	0.00	μB per atom

# Nd3Mg5Ag2 | Alexandria via LeMat-Bulk | PBE | relaxed
data_Nd3Mg5Ag2
_space_group_name_H-M_alt 'I b a m'
_space_group_IT_number 72
_space_group_name_Hall '-I 2 2c'
_cell_length_a 12.857
_cell_length_b 12.925
_cell_length_c 6.412
_cell_angle_alpha 90.00
_cell_angle_beta 90.00
_cell_angle_gamma 90.00
loop_
_atom_site_label
_atom_site_fract_x
_atom_site_fract_y
_atom_site_fract_z
Nd1 0.000 0.000 0.250
Nd2 0.248 0.138 0.000
Mg1 0.000 0.262 0.250
Mg2 0.000 0.500 0.250
Mg3 0.158 0.393 0.000
Ag1 0.141 0.147 0.500
# relative energy among the computed polymorphs	135	meV/atom
# calculated formation energy	-0.058	eV/atom
# magnetization	0.00	μB per atom

Which of these has the highest magnetization?
NdMgAg